Entry 1:
ErAlTl: relaxed, PBE.

crystal system = cubic
raw total energy = -3.563 eV/atom

Unit cell a=6.787 b=6.787 c=6.787 alpha=90.00 beta=90.00 gamma=90.00
Space group F-43m (No. 216)
One atom of each set of equivalent atoms:
Er: 0.000 0.000 0.000 [4 per cell]
Al: 0.250 0.250 0.250 [4 per cell]
Tl: 0.000 0.000 0.500 [4 per cell]

***

Entry 2:
ErTmAl: relaxed, PBE.

crystal system = orthorhombic
raw total energy = -4.559 eV/atom

Unit cell a=6.487 b=5.037 c=9.338 alpha=90.00 beta=90.00 gamma=90.00
Space group Pnma (No. 62)
One atom of each set of equivalent atoms:
Er: 0.186 0.250 0.072 [4 per cell]
Tm: 0.028 0.250 0.711 [4 per cell]
Al: 0.207 0.250 0.396 [4 per cell]

***

Entry 3:
ErTmAl2: relaxed, PBE.

crystal system = orthorhombic
raw total energy = -4.502 eV/atom

Unit cell a=4.103 b=4.372 c=10.992 alpha=90.00 beta=90.00 gamma=90.00
Space group Amm2 (No. 38)
One atom of each set of equivalent atoms:
Er: 0.000 0.000 0.000 [2 per cell]
Tm: 0.500 0.000 0.280 [2 per cell]
Al: 0.000 0.000 0.716 [2 per cell]
Al: 0.500 0.000 0.565 [2 per cell]

***

Entry 4:
ErTmAl: relaxed, PBE.

crystal system = cubic
raw total energy = -3.752 eV/atom

Unit cell a=7.112 b=7.112 c=7.112 alpha=90.00 beta=90.00 gamma=90.00
Space group F-43m (No. 216)
One atom of each set of equivalent atoms:
Er: 0.000 0.000 0.000 [4 per cell]
Tm: 0.250 0.250 0.250 [4 per cell]
Al: 0.250 0.250 0.750 [4 per cell]